Entry 1:
Entry from Alexandria: a geometry-optimized TlAuI2Br structure (PBE-GGA).

## Properties
- Crystal system: tetragonal
- V: 35.5 Å³/atom
- N(E_F): 1.6 states/eV/cell
- Energy relative to the elements, uncorrected: -0.291 eV/atom

Cell: 5.7164 5.7164 5.4388 Å, 90.00 90.00 90.00°
With the nearest neighbours (Å) after each atom.
Space group P4/mmm (No. 123)
Asymmetric unit:
Tl1 0.0000 0.0000 0.0000 [1 per cell]  8 I 3.95, 4 Br 4.04
Au1 0.5000 0.5000 0.5000 [1 per cell]  2 Br 2.72, 4 I 2.86
I1 0.0000 0.5000 0.5000 [2 per cell]  2 Au 2.86
Br1 0.5000 0.5000 0.0000 [1 per cell]  2 Au 2.72

---

Entry 2:
Entry from Alexandria: a geometry-optimized Tl2AuIBr3 structure (PBE-GGA).

## Properties
- Crystal system: orthorhombic
- V: 38.9 Å³/atom
- N(E_F): 2.1 states/eV/cell
- Energy relative to the elements, uncorrected: -0.467 eV/atom

Cell: 5.5703 6.4116 15.2634 Å, 90.00 90.00 90.00°
With the nearest neighbours (Å) after each atom.
Space group Immm (No. 71)
Asymmetric unit:
Tl1 0.0000 0.0000 0.1256 [4 per cell]  3 Br 3.18-3.38
Au1 0.0000 0.0000 0.5000 [2 per cell]  2 Br 2.54, 2 I 2.79
I1 0.0000 0.5000 0.0000 [2 per cell]  2 Au 2.79
Br1 0.0000 0.0000 0.3336 [4 per cell]  1 Au 2.54
Br2 0.0000 0.5000 0.5000 [2 per cell]  2 Au 3.21, 4 Tl 3.38